An optimized crystal structure of Eu2PuMg, computed with PBE.

Cell: 3.671 3.671 9.840 Å, 90.00 90.00 90.00°
Fractional positions:
Eu1 0.000 0.000 0.238
Eu2 0.000 0.000 0.762
Pu1 0.500 0.500 0.500
Mg1 0.500 0.500 0.000

Properties
- E_form: 0.129 eV per atom
- SG: No. 123